Run i
Below is a relaxed CdTe2PdN crystal, with properties calculated at the PBE level.

## Properties
The calculation puts the calculated volume at 119 Å³ per cell. As for the total magnetic moment: 0.0 μB/cell. For the density of states at the Fermi level, the calculation gives 4.153 states/eV/cell.

Lattice parameters (Å, degrees): 5.656 5.656 3.705 90.00 90.00 90.00
Space group P4/mmm (No. 123)
One atom of each set of equivalent atoms:
Cd  0.000  0.000  0.000 x1
Te  0.000  0.500  0.500 x2
Pd  0.500  0.500  0.500 x1
N  0.500  0.500  0.000 x1

=====

Run ii
Below is a relaxed CdTe2PdN crystal, with properties calculated at the PBE level.

## Properties
The calculation puts the calculated volume at 129 Å³ per cell. As for the total magnetic moment: 2.0 μB/cell. For the density of states at the Fermi level, the calculation gives 4.735 states/eV/cell.

Lattice parameters (Å, degrees): 5.691 5.691 3.996 90.00 90.00 90.00
Space group P4/mmm (No. 123)
One atom of each set of equivalent atoms:
Cd  0.000  0.000  0.000 x1
Te  0.000  0.500  0.000 x2
Pd  0.500  0.500  0.500 x1
N  0.000  0.000  0.500 x1

=====

Order from most stable to least stable according to the calculation: run i, run ii

=====

Run i
Below is a relaxed Pm2CdN crystal, with properties calculated at the PBE level.

## Properties
The calculation puts the calculated volume at 359 Å³ per cell. As for the total magnetic moment: 0.0 μB/cell. For the density of states at the Fermi level, the calculation gives 8.440 states/eV/cell.

Lattice parameters (Å, degrees): 3.556 19.766 5.102 90.00 90.00 90.00
Space group Cmcm (No. 63)
One atom of each set of equivalent atoms:
Pm  0.000  0.112  0.250 x4
Pm  0.000  0.289  0.250 x4
Cd  0.000  0.459  0.250 x4
N  0.000  0.300  0.750 x4

=====

Run ii
Below is a relaxed Pm2CdN crystal, with properties calculated at the PBE level.

## Properties
The calculation puts the calculated volume at 281 Å³ per cell. As for the total magnetic moment: 1.0 μB/cell. For the density of states at the Fermi level, the calculation gives 12.388 states/eV/cell.

Lattice parameters (Å, degrees): 3.6265 3.6265 24.6596 90.00 90.00 120.00
Space group R-3m (No. 166, hexagonal axes)
One atom of each set of equivalent atoms:
Pm  0.0000  0.0000  0.2229 x6
Cd  0.0000  0.0000  0.0000 x3
N  0.0000  0.0000  0.5000 x3

=====

Run iii
Below is a relaxed Pm2CdN crystal, with properties calculated at the PBE level.

## Properties
The calculation puts the calculated volume at 94 Å³ per cell. As for the total magnetic moment: 0.9 μB/cell. For the density of states at the Fermi level, the calculation gives 4.279 states/eV/cell.

Lattice parameters (Å, degrees): 3.5532 3.5532 8.5675 90.00 90.00 120.00
Space group P-6m2 (No. 187)
One atom of each set of equivalent atoms:
Pm  0.0000  0.0000  0.1786 x2
Cd  0.3333  0.6667  0.5000 x1
N  0.6667  0.3333  0.0000 x1

=====

Order from most stable to least stable according to the calculation: run i, run ii, run iii

=====

Run i
Below is a relaxed Pm4Cd2N crystal, with properties calculated at the PBE level.

## Properties
The calculation puts the calculated volume at 385 Å³ per cell. As for the total magnetic moment: 0.0 μB/cell. For the density of states at the Fermi level, the calculation gives 7.987 states/eV/cell.

Lattice parameters (Å, degrees): 5.035 5.035 15.198 90.00 90.00 90.00
Space group I4/mmm (No. 139)
One atom of each set of equivalent atoms:
Pm  0.000  0.000  0.163 x4
Pm  0.000  0.500  0.000 x4
Cd  0.000  0.000  0.369 x4
N  0.000  0.000  0.000 x2

=====

Run ii
Below is a relaxed Pm4Cd2N crystal, with properties calculated at the PBE level.

## Properties
The calculation puts the calculated volume at 428 Å³ per cell. As for the total magnetic moment: 0.0 μB/cell. For the density of states at the Fermi level, the calculation gives 9.205 states/eV/cell.

Lattice parameters (Å, degrees): 5.112 24.854 3.370 90.00 90.00 90.00
Space group Cmmm (No. 65)
One atom of each set of equivalent atoms:
Pm  0.000  0.066  0.000 x4
Pm  0.000  0.202  0.500 x4
Cd  0.000  0.342  0.000 x4
N  0.000  0.000  0.500 x2

=====

Order from most stable to least stable according to the calculation: run i, run ii

=====

Run i
Below is a relaxed Pr2CdN crystal, with properties calculated at the PBE level.

## Properties
The calculation puts the calculated volume at 296 Å³ per cell. As for the total magnetic moment: 0.8 μB/cell. For the density of states at the Fermi level, the calculation gives 13.364 states/eV/cell.

Lattice parameters (Å, degrees): 3.6899 3.6899 25.0830 90.00 90.00 120.00
Space group R-3m (No. 166, hexagonal axes)
One atom of each set of equivalent atoms:
Pr  0.0000  0.0000  0.2229 x6
Cd  0.0000  0.0000  0.0000 x3
N  0.0000  0.0000  0.5000 x3

=====

Run ii
Below is a relaxed Pr2CdN crystal, with properties calculated at the PBE level.

## Properties
The calculation puts the calculated volume at 416 Å³ per cell. As for the total magnetic moment: 0.0 μB/cell. For the density of states at the Fermi level, the calculation gives 14.315 states/eV/cell.

Lattice parameters (Å, degrees): 5.208 10.622 7.518 90.00 90.00 90.00
Space group Ima2 (No. 46)
One atom of each set of equivalent atoms:
Pr  0.250  0.105  0.000 x4
Pr  0.250  0.705  0.185 x4
Cd  0.250  0.076  0.453 x4
N  0.250  0.615  0.481 x4

=====

Order from most stable to least stable according to the calculation: run i, run ii

=====

Run i
Below is a relaxed PrCdN crystal, with properties calculated at the PBE level.

## Properties
The calculation puts the calculated volume at 467 Å³ per cell. As for the total magnetic moment: 0.0 μB/cell. For the density of states at the Fermi level, the calculation gives 9.214 states/eV/cell.

Lattice parameters (Å, degrees): 4.0837 4.0837 32.3241 90.00 90.00 120.00
Space group R-3m (No. 166, hexagonal axes)
One atom of each set of equivalent atoms:
Pr  0.0000  0.0000  0.2088 x6
Cd  0.0000  0.0000  0.3656 x6
N  0.0000  0.0000  0.1347 x6

=====

Run ii
Below is a relaxed PrCdN crystal, with properties calculated at the PBE level.

## Properties
The calculation puts the calculated volume at 139 Å³ per cell. As for the total magnetic moment: 0.0 μB/cell. For the density of states at the Fermi level, the calculation gives 2.605 states/eV/cell.

Lattice parameters (Å, degrees): 4.440 4.440 7.062 90.00 90.00 90.00
Space group P4/nmm (No. 129, origin choice 2)
One atom of each set of equivalent atoms:
Pr  0.250  0.250  0.131 x2
Cd  0.250  0.250  0.615 x2
N  0.250  0.750  0.000 x2

=====

Order from most stable to least stable according to the calculation: run i, run ii

=====

Run i
Below is a relaxed Cd3PtN crystal, with properties calculated at the PBE level.

## Properties
The calculation puts the calculated volume at 146 Å³ per cell. As for the total magnetic moment: 2.6 μB/cell. For the density of states at the Fermi level, the calculation gives 1.541 states/eV/cell.

Lattice parameters (Å, degrees): 5.266 5.266 5.266 90.00 90.00 90.00
Space group Pm-3m (No. 221)
One atom of each set of equivalent atoms:
Cd  0.000  0.000  0.500 x3
Pt  0.000  0.000  0.000 x1
N  0.500  0.500  0.500 x1

=====

Run ii
Below is a relaxed Cd3PtN crystal, with properties calculated at the PBE level.

## Properties
The calculation puts the calculated volume at 92 Å³ per cell. As for the total magnetic moment: 0.0 μB/cell. For the density of states at the Fermi level, the calculation gives 1.984 states/eV/cell.

Lattice parameters (Å, degrees): 4.508 4.508 4.508 90.00 90.00 90.00
Space group Pm-3m (No. 221)
One atom of each set of equivalent atoms:
Cd  0.000  0.000  0.500 x3
Pt  0.500  0.500  0.500 x1
N  0.000  0.000  0.000 x1

=====

Order from most stable to least stable according to the calculation: run ii, run i

=====

Run i
Below is a relaxed CdPt2N crystal, with properties calculated at the PBE level.

## Properties
The calculation puts the calculated volume at 309 Å³ per cell. As for the total magnetic moment: 0.0 μB/cell. For the density of states at the Fermi level, the calculation gives 7.697 states/eV/cell.

Lattice parameters (Å, degrees): 5.025 5.025 12.245 90.00 90.00 90.00
Space group I-42d (No. 122)
One atom of each set of equivalent atoms:
Cd  0.000  0.000  0.000 x4
Pt  0.067  0.250  0.625 x8
N  0.000  0.000  0.500 x4

=====

Run ii
Below is a relaxed CdPt2N crystal, with properties calculated at the PBE level.

## Properties
The calculation puts the calculated volume at 246 Å³ per cell. As for the total magnetic moment: 6.1 μB/cell. For the density of states at the Fermi level, the calculation gives 24.270 states/eV/cell.

Lattice parameters (Å, degrees): 6.262 6.262 6.262 90.00 90.00 90.00
Space group Fm-3m (No. 225)
One atom of each set of equivalent atoms:
Cd  0.000  0.000  0.000 x4
Pt  0.250  0.250  0.250 x8
N  0.000  0.000  0.500 x4

=====

Order from most stable to least stable according to the calculation: run i, run ii

=====

Run i
Below is a relaxed CdPtSN2 crystal, with properties calculated at the PBE level.

## Properties
The calculation puts the calculated volume at 93 Å³ per cell. As for the total magnetic moment: 4.1 μB/cell. For the density of states at the Fermi level, the calculation gives 2.556 states/eV/cell.

Lattice parameters (Å, degrees): 4.061 4.061 5.616 90.00 90.00 90.00
Space group P4/mmm (No. 123)
One atom of each set of equivalent atoms:
Cd  0.000  0.000  0.000 x1
Pt  0.500  0.500  0.500 x1
S  0.000  0.000  0.500 x1
N  0.000  0.500  0.000 x2

=====

Run ii
Below is a relaxed CdPtSN2 crystal, with properties calculated at the PBE level.

## Properties
The calculation puts the calculated volume at 117 Å³ per cell. As for the total magnetic moment: 0.0 μB/cell. For the density of states at the Fermi level, the calculation gives 3.114 states/eV/cell.

Lattice parameters (Å, degrees): 3.736 3.736 8.393 90.00 90.00 90.00
Space group P4/mmm (No. 123)
One atom of each set of equivalent atoms:
Cd  0.000  0.000  0.000 x1
Pt  0.500  0.500  0.500 x1
S  0.500  0.500  0.000 x1
N  0.000  0.500  0.500 x2

=====

Order from most stable to least stable according to the calculation: run ii, run i

=====

Run i
Below is a relaxed Pu2CdN crystal, with properties calculated at the PBE level.

## Properties
The calculation puts the calculated volume at 257 Å³ per cell. As for the total magnetic moment: 34.0 μB/cell. For the density of states at the Fermi level, the calculation gives 42.346 states/eV/cell.

Lattice parameters (Å, degrees): 3.3756 3.3756 26.0004 90.00 90.00 120.00
Space group R3m (No. 160, hexagonal axes)
One atom of each set of equivalent atoms:
Pu  0.0000  0.0000  0.0000 x3
Pu  0.0000  0.0000  0.2229 x3
Cd  0.0000  0.0000  0.7771 x3
N  0.0000  0.0000  0.6108 x3

=====

Run ii
Below is a relaxed Pu2CdN crystal, with properties calculated at the PBE level.

## Properties
The calculation puts the calculated volume at 272 Å³ per cell. As for the total magnetic moment: 34.5 μB/cell. For the density of states at the Fermi level, the calculation gives 39.208 states/eV/cell.

Lattice parameters (Å, degrees): 3.3120 3.3120 28.6742 90.00 90.00 120.00
Space group R-3m (No. 166, hexagonal axes)
One atom of each set of equivalent atoms:
Pu  0.0000  0.0000  0.1161 x6
Cd  0.0000  0.0000  0.0000 x3
N  0.0000  0.0000  0.5000 x3

=====

Run iii
Below is a relaxed Pu2CdN crystal, with properties calculated at the PBE level.

## Properties
The calculation puts the calculated volume at 78 Å³ per cell. As for the total magnetic moment: 11.0 μB/cell. For the density of states at the Fermi level, the calculation gives 10.079 states/eV/cell.

Lattice parameters (Å, degrees): 3.077 3.077 8.248 90.00 90.00 90.00
Space group P4/mmm (No. 123)
One atom of each set of equivalent atoms:
Pu  0.000  0.000  0.173 x2
Cd  0.500  0.500  0.500 x1
N  0.500  0.500  0.000 x1

=====

Order from most stable to least stable according to the calculation: run i, run ii, run iii

=====

Run i
Below is a relaxed PuCdN crystal, with properties calculated at the PBE level.

## Properties
The calculation puts the calculated volume at 263 Å³ per cell. As for the total magnetic moment: 18.8 μB/cell. For the density of states at the Fermi level, the calculation gives 29.544 states/eV/cell.

Lattice parameters (Å, degrees): 3.884 16.846 4.013 90.00 90.00 90.00
Space group Cmcm (No. 63)
One atom of each set of equivalent atoms:
Pu  0.000  0.188  0.250 x4
Cd  0.000  0.436  0.250 x4
N  0.000  0.247  0.750 x4

=====

Run ii
Below is a relaxed PuCdN crystal, with properties calculated at the PBE level.

## Properties
The calculation puts the calculated volume at 383 Å³ per cell. As for the total magnetic moment: 28.0 μB/cell. For the density of states at the Fermi level, the calculation gives 33.603 states/eV/cell.

Lattice parameters (Å, degrees): 3.7996 3.7996 30.6446 90.00 90.00 120.00
Space group R-3m (No. 166, hexagonal axes)
One atom of each set of equivalent atoms:
Pu  0.0000  0.0000  0.1223 x6
Cd  0.0000  0.0000  0.3684 x6
N  0.0000  0.0000  0.1959 x6

=====

Order from most stable to least stable according to the calculation: run ii, run i

=====

Run i
Below is a relaxed Rb2CdN crystal, with properties calculated at the PBE level.

## Properties
The calculation puts the calculated volume at 522 Å³ per cell. As for the total magnetic moment: 4.0 μB/cell. For the density of states at the Fermi level, the calculation gives 12.054 states/eV/cell.

Lattice parameters (Å, degrees): 8.054 8.054 8.054 90.00 90.00 90.00
Space group Fm-3m (No. 225)
One atom of each set of equivalent atoms:
Rb  0.250  0.250  0.250 x8
Cd  0.000  0.000  0.000 x4
N  0.000  0.000  0.500 x4

=====

Run ii
Below is a relaxed Rb2CdN crystal, with properties calculated at the PBE level.

## Properties
The calculation puts the calculated volume at 665 Å³ per cell. As for the total magnetic moment: 0.0 μB/cell. For the density of states at the Fermi level, the calculation gives 5.777 states/eV/cell.

Lattice parameters (Å, degrees): 12.556 12.556 4.215 90.00 90.00 90.00
Space group I-42d (No. 122)
One atom of each set of equivalent atoms:
Rb  0.033  0.750  0.125 x8
Cd  0.000  0.000  0.500 x4
N  0.000  0.000  0.000 x4

=====

Order from most stable to least stable according to the calculation: run ii, run i

=====

Run i
Below is a relaxed RbCdSeN2 crystal, with properties calculated at the PBE level.

## Properties
The calculation puts the calculated volume at 125 Å³ per cell. As for the total magnetic moment: 4.9 μB/cell. For the density of states at the Fermi level, the calculation gives 1.611 states/eV/cell.

Lattice parameters (Å, degrees): 4.780 4.780 5.478 90.00 90.00 90.00
Space group P4/mmm (No. 123)
One atom of each set of equivalent atoms:
Rb  0.000  0.000  0.000 x1
Cd  0.500  0.500  0.500 x1
Se  0.500  0.500  0.000 x1
N  0.000  0.500  0.500 x2

=====

Run ii
Below is a relaxed RbCdSeN2 crystal, with properties calculated at the PBE level.

## Properties
The calculation puts the calculated volume at 178 Å³ per cell. As for the total magnetic moment: 5.5 μB/cell. For the density of states at the Fermi level, the calculation gives 3.636 states/eV/cell.

Lattice parameters (Å, degrees): 5.113 5.113 6.819 90.00 90.00 90.00
Space group P4/mmm (No. 123)
One atom of each set of equivalent atoms:
Rb  0.000  0.000  0.000 x1
Cd  0.500  0.500  0.500 x1
Se  0.000  0.000  0.500 x1
N  0.000  0.500  0.000 x2

=====

Order from most stable to least stable according to the calculation: run i, run ii